# 1
Material: PaMn2BeO6
Method: DFT, PBE+U
State: optimized geometry

Lattice parameters (Å, degrees): 5.640 5.640 5.640 53.98 53.98 53.98
Positions (direct):
Pa 0.000 0.000 0.000
Mn 0.297 0.297 0.297
Mn 0.799 0.799 0.799
Be 0.542 0.542 0.542
O 0.053 0.676 0.437
O 0.224 0.579 0.858
O 0.437 0.053 0.676
O 0.579 0.858 0.224
O 0.676 0.437 0.053
O 0.858 0.224 0.579

Summary:
Magnetization: 0.300 μB/atom
E: -77.7 eV per cell

---

# 2
Material: Pa2MnBeO8
Method: DFT, PBE+U
State: optimized geometry

Lattice parameters (Å, degrees): 3.989 4.849 7.408 89.94 89.99 81.08
Positions (direct):
Pa 0.001 0.000 0.252
Pa 0.999 0.000 0.748
Mn 0.500 0.500 0.500
Be 0.500 0.500 0.000
O 0.108 0.753 0.500
O 0.197 0.744 0.000
O 0.388 0.270 0.286
O 0.389 0.269 0.714
O 0.611 0.731 0.286
O 0.612 0.730 0.714
O 0.803 0.256 0.000
O 0.892 0.247 0.500

Summary:
Magnetization: 0.249 μB/atom
E: -101.5 eV per cell

---

# 3
Material: PaMnBeO6
Method: DFT, PBE+U
State: optimized geometry

Lattice parameters (Å, degrees): 4.877 4.877 4.719 90.00 90.00 120.00
Positions (direct):
Pa 0.000 0.000 0.000
Mn 0.333 0.667 0.500
Be 0.667 0.333 0.500
O 0.363 0.009 0.720
O 0.363 0.354 0.280
O 0.646 0.009 0.280
O 0.646 0.637 0.720
O 0.991 0.354 0.720
O 0.991 0.637 0.280

Summary:
Magnetization: 0.226 μB/atom
E: -70.4 eV per cell

---

# 4
Material: PmMnBeO4
Method: DFT, PBE+U
State: optimized geometry

Lattice parameters (Å, degrees): 5.035 5.312 6.229 90.00 107.76 90.00
Positions (direct):
Pm 0.240 0.250 0.432
Pm 0.760 0.750 0.568
Mn 0.278 0.250 0.950
Mn 0.722 0.750 0.050
Be 0.254 0.750 0.175
Be 0.746 0.250 0.825
O 0.030 0.750 0.932
O 0.049 0.750 0.340
O 0.474 0.515 0.228
O 0.474 0.985 0.228
O 0.526 0.015 0.772
O 0.526 0.485 0.772
O 0.951 0.250 0.660
O 0.970 0.250 0.068

Summary:
Magnetization: 0.571 μB/atom
E: -105.2 eV per cell

---

# 5
Material: PuMnBeO6
Method: DFT, PBE+U
State: optimized geometry

Lattice parameters (Å, degrees): 4.970 4.970 8.957 90.00 90.00 120.00
Positions (direct):
Pu 0.333 0.667 0.250
Pu 0.667 0.333 0.750
Mn 0.000 0.000 0.000
Mn 0.000 0.000 0.500
Be 0.333 0.667 0.750
Be 0.667 0.333 0.250
O 0.022 0.353 0.632
O 0.022 0.669 0.868
O 0.331 0.353 0.868
O 0.331 0.978 0.632
O 0.353 0.022 0.132
O 0.353 0.331 0.368
O 0.647 0.669 0.632
O 0.647 0.978 0.868
O 0.669 0.022 0.368
O 0.669 0.647 0.132
O 0.978 0.331 0.132
O 0.978 0.647 0.368

Summary:
Magnetization: 0.556 μB/atom
E: -145.3 eV per cell

---

# 6
Material: Rb2MnBeO
Method: DFT, PBE+U
State: optimized geometry

Lattice parameters (Å, degrees): 7.375 7.375 3.052 90.00 90.00 90.00
Positions (direct):
Rb 0.000 0.500 0.000
Rb 0.500 0.000 0.000
Mn 0.000 0.000 0.500
Be 0.500 0.500 0.000
O 0.500 0.500 0.500

Summary:
Magnetization: 0.976 μB/atom
E: -19.2 eV per cell

---

# 7
Material: RbMnBeO3
Method: DFT, PBE+U
State: optimized geometry

Lattice parameters (Å, degrees): 7.428 3.035 7.560 90.00 114.37 90.00
Positions (direct):
Rb 0.225 0.250 0.241
Rb 0.775 0.750 0.759
Mn 0.336 0.750 0.856
Mn 0.664 0.250 0.144
Be 0.085 0.250 0.609
Be 0.915 0.750 0.391
O 0.147 0.250 0.837
O 0.152 0.750 0.552
O 0.488 0.750 0.141
O 0.512 0.250 0.859
O 0.848 0.250 0.448
O 0.853 0.750 0.163

Summary:
Magnetization: 0.333 μB/atom
E: -74.4 eV per cell

---

# 8
Material: Rb2MnBeO4
Method: DFT, PBE+U
State: optimized geometry

Lattice parameters (Å, degrees): 11.716 10.407 6.363 85.01 62.24 32.75
Positions (direct):
Rb 0.048 0.048 0.702
Rb 0.298 0.298 0.952
Rb 0.702 0.702 0.048
Rb 0.952 0.952 0.298
Mn 0.375 0.375 0.375
Mn 0.625 0.625 0.625
Be 0.125 0.125 0.125
Be 0.875 0.875 0.875
O 0.018 0.316 0.385
O 0.220 0.615 0.684
O 0.316 0.018 0.780
O 0.385 0.780 0.018
O 0.615 0.220 0.982
O 0.684 0.982 0.220
O 0.780 0.385 0.316
O 0.982 0.684 0.615

Summary:
Magnetization: 0.375 μB/atom
E: -93.4 eV per cell

---

# 9
Material: MnBeRhO2
Method: DFT, PBE+U
State: optimized geometry

Lattice parameters (Å, degrees): 4.028 4.028 4.104 90.00 90.00 90.00
Positions (direct):
Mn 0.000 0.000 0.000
Be 0.500 0.500 0.000
Rh 0.500 0.500 0.500
O 0.000 0.500 0.500
O 0.500 0.000 0.500

Summary:
Magnetization: 0.834 μB/atom
E: -27.8 eV per cell

---

# 10
Material: Mn4Be3Si3SO12
Method: DFT, PBE+U
State: optimized geometry

Lattice parameters (Å, degrees): 8.386 8.386 8.386 90.00 90.00 90.00
Positions (direct):
Mn 0.171 0.171 0.171
Mn 0.171 0.829 0.829
Mn 0.329 0.329 0.671
Mn 0.329 0.671 0.329
Mn 0.671 0.329 0.329
Mn 0.671 0.671 0.671
Mn 0.829 0.171 0.829
Mn 0.829 0.829 0.171
Be 0.000 0.250 0.500
Be 0.000 0.750 0.500
Be 0.250 0.500 0.000
Be 0.500 0.000 0.250
Be 0.500 0.000 0.750
Be 0.750 0.500 0.000
Si 0.000 0.500 0.250
Si 0.000 0.500 0.750
Si 0.250 0.000 0.500
Si 0.500 0.250 0.000
Si 0.500 0.750 0.000
Si 0.750 0.000 0.500
S 0.000 0.000 0.000
S 0.500 0.500 0.500
O 0.082 0.358 0.642
O 0.082 0.642 0.358
O 0.142 0.142 0.418
O 0.142 0.418 0.142
O 0.142 0.582 0.858
O 0.142 0.858 0.582
O 0.358 0.082 0.642
O 0.358 0.358 0.918
O 0.358 0.642 0.082
O 0.358 0.918 0.358
O 0.418 0.142 0.142
O 0.418 0.858 0.858
O 0.582 0.142 0.858
O 0.582 0.858 0.142
O 0.642 0.082 0.358
O 0.642 0.358 0.082
O 0.642 0.642 0.918
O 0.642 0.918 0.642
O 0.858 0.142 0.582
O 0.858 0.418 0.858
O 0.858 0.582 0.142
O 0.858 0.858 0.418
O 0.918 0.358 0.358
O 0.918 0.642 0.642

Summary:
Magnetization: 0.870 μB/atom
E: -351.4 eV per cell

---

# 11
Material: MnBeSe2O
Method: DFT, PBE+U
State: optimized geometry

Lattice parameters (Å, degrees): 4.837 4.837 3.848 90.00 90.00 90.00
Positions (direct):
Mn 0.000 0.000 0.000
Be 0.500 0.500 0.000
Se 0.000 0.500 0.500
Se 0.500 0.000 0.500
O 0.000 0.000 0.500

Summary:
Magnetization: 0.956 μB/atom
E: -21.9 eV per cell

---

# 12
Material: Mn4Be3Si3TeO12
Method: DFT, PBE+U
State: optimized geometry

Lattice parameters (Å, degrees): 8.524 8.524 8.524 90.00 90.00 90.00
Positions (direct):
Mn 0.188 0.188 0.188
Mn 0.188 0.812 0.812
Mn 0.312 0.312 0.688
Mn 0.312 0.688 0.312
Mn 0.688 0.312 0.312
Mn 0.688 0.688 0.688
Mn 0.812 0.188 0.812
Mn 0.812 0.812 0.188
Be 0.000 0.250 0.500
Be 0.000 0.750 0.500
Be 0.250 0.500 0.000
Be 0.500 0.000 0.250
Be 0.500 0.000 0.750
Be 0.750 0.500 0.000
Si 0.000 0.500 0.250
Si 0.000 0.500 0.750
Si 0.250 0.000 0.500
Si 0.500 0.250 0.000
Si 0.500 0.750 0.000
Si 0.750 0.000 0.500
Te 0.000 0.000 0.000
Te 0.500 0.500 0.500
O 0.073 0.355 0.645
O 0.073 0.645 0.355
O 0.145 0.145 0.427
O 0.145 0.427 0.145
O 0.145 0.573 0.855
O 0.145 0.855 0.573
O 0.355 0.073 0.645
O 0.355 0.355 0.927
O 0.355 0.645 0.073
O 0.355 0.927 0.355
O 0.427 0.145 0.145
O 0.427 0.855 0.855
O 0.573 0.145 0.855
O 0.573 0.855 0.145
O 0.645 0.073 0.355
O 0.645 0.355 0.073
O 0.645 0.645 0.927
O 0.645 0.927 0.645
O 0.855 0.145 0.573
O 0.855 0.427 0.855
O 0.855 0.573 0.145
O 0.855 0.855 0.427
O 0.927 0.355 0.355
O 0.927 0.645 0.645

Summary:
Magnetization: 0.870 μB/atom
E: -347.6 eV per cell

---

# 13
Material: Sm2MnBeO6
Method: DFT, PBE+U
State: optimized geometry

Lattice parameters (Å, degrees): 5.305 5.310 9.157 90.00 125.28 90.00
Positions (direct):
Sm 0.241 0.037 0.249
Sm 0.241 0.463 0.749
Sm 0.759 0.537 0.251
Sm 0.759 0.963 0.751
Mn 0.500 0.000 0.000
Mn 0.500 0.500 0.500
Be 0.000 0.000 0.500
Be 0.000 0.500 0.000
O 0.180 0.221 0.962
O 0.180 0.279 0.462
O 0.241 0.716 0.963
O 0.241 0.784 0.463
O 0.316 0.010 0.747
O 0.316 0.490 0.247
O 0.684 0.510 0.753
O 0.684 0.990 0.253
O 0.759 0.216 0.537
O 0.759 0.284 0.037
O 0.820 0.721 0.538
O 0.820 0.779 0.038

Summary:
Magnetization: 0.295 μB/atom
E: -153.0 eV per cell

---

# 14
Material: UMnBeO6
Method: DFT, PBE+U
State: optimized geometry

Lattice parameters (Å, degrees): 4.984 4.984 8.714 90.00 90.00 120.00
Positions (direct):
U 0.333 0.667 0.250
U 0.667 0.333 0.750
Mn 0.000 0.000 0.000
Mn 0.000 0.000 0.500
Be 0.333 0.667 0.750
Be 0.667 0.333 0.250
O 0.028 0.342 0.628
O 0.028 0.687 0.872
O 0.313 0.342 0.872
O 0.313 0.972 0.628
O 0.342 0.028 0.128
O 0.342 0.313 0.372
O 0.658 0.687 0.628
O 0.658 0.972 0.872
O 0.687 0.028 0.372
O 0.687 0.658 0.128
O 0.972 0.313 0.128
O 0.972 0.658 0.372

Summary:
Magnetization: 0.333 μB/atom
E: -142.7 eV per cell

---

# 15
Material: MnBeVO6
Method: DFT, PBE+U
State: optimized geometry

Lattice parameters (Å, degrees): 4.727 4.727 8.346 90.00 90.00 120.00
Positions (direct):
Mn 0.000 0.000 0.000
Mn 0.000 0.000 0.500
Be 0.333 0.667 0.250
Be 0.667 0.333 0.750
V 0.333 0.667 0.750
V 0.667 0.333 0.250
O 0.008 0.342 0.130
O 0.008 0.666 0.370
O 0.334 0.342 0.370
O 0.334 0.992 0.130
O 0.342 0.008 0.630
O 0.342 0.334 0.870
O 0.658 0.666 0.130
O 0.658 0.992 0.370
O 0.666 0.008 0.870
O 0.666 0.658 0.630
O 0.992 0.334 0.630
O 0.992 0.658 0.870

Summary:
Magnetization: 0.222 μB/atom
E: -123.3 eV per cell

---

# 16
Material: Mn2Be2VO6
Method: DFT, PBE+U
State: optimized geometry

Lattice parameters (Å, degrees): 4.867 4.867 5.049 90.00 90.00 120.00
Positions (direct):
Mn 0.333 0.667 0.000
Mn 0.667 0.333 0.000
Be 0.333 0.667 0.500
Be 0.667 0.333 0.500
V 0.000 0.000 0.500
O 0.000 0.349 0.705
O 0.000 0.651 0.295
O 0.349 0.000 0.705
O 0.349 0.349 0.295
O 0.651 0.000 0.295
O 0.651 0.651 0.705

Summary:
Magnetization: 1.000 μB/atom
E: -79.6 eV per cell